## MgZn7Rh4 (GGA-PBE)

Data for a geometry-optimized MgZn7Rh4 structure.

Structure (POSCAR):
```
MgZn7Rh4
1.0
5.2809 0.0000 0.0000
2.2341 5.4042 0.0000
1.0173 1.3700 6.1006
Mg Zn Rh
1 7 4
Cartesian
0.0000 0.0000 0.0000
1.3504 1.4227 2.2321
2.4371 2.6875 0.1096
3.4892 4.0216 2.1547
2.6405 0.0000 0.0000
5.0431 2.7526 3.9459
6.0952 4.0867 5.9910
7.1818 5.3515 3.8685
2.4270 2.7903 4.2290
4.5664 5.3456 4.1755
3.9659 1.4286 1.9251
6.1053 3.9838 1.8716
```

E in eV/cell: -43.6
Symmetry: No. 2

***

## MgZn2Rh2 (GGA-PBE)

Data for a geometry-optimized MgZn2Rh2 structure.

Structure (POSCAR):
```
MgZn2Rh2
1.0
4.3252 0.0000 0.0000
-2.1626 3.7457 0.0000
0.0000 0.0000 5.0887
Mg Zn Rh
1 2 2
Cartesian
0.0000 0.0000 0.0000
0.0000 2.4972 3.3242
2.1626 1.2486 1.7646
0.0000 2.4972 0.8200
2.1626 1.2486 4.2687
```

E in eV/cell: -20.2
Symmetry: No. 164

***

## MgZnRh (GGA-PBE)

Data for a geometry-optimized MgZnRh structure.

Structure (POSCAR):
```
MgZnRh
1.0
8.7101 0.0000 0.0000
0.0000 4.0005 0.0000
-1.4533 0.0000 5.2294
Mg Zn Rh
4 4 4
Cartesian
1.0865 0.0000 1.5905
1.8153 2.0002 3.6388
5.4415 2.0002 1.5905
6.1703 0.0000 3.6388
0.0000 2.0002 0.0000
-0.7267 2.0002 2.6147
4.3551 0.0000 0.0000
3.6284 0.0000 2.6147
0.0621 0.0000 4.1804
2.8397 2.0002 1.0490
4.4171 2.0002 4.1804
7.1947 0.0000 1.0490
```

E in eV/cell: -45.8
Symmetry: No. 12

***

## MgZn3Rh (GGA-PBE)

Data for a geometry-optimized MgZn3Rh structure.

Structure (POSCAR):
```
MgZn3Rh
1.0
4.5281 0.0000 0.0000
0.0000 5.4393 0.0000
-2.2641 0.0000 6.2942
Mg Zn Rh
2 6 2
Cartesian
0.0097 1.3598 1.1802
2.2542 4.0794 5.1140
-0.0007 2.7265 3.8823
-0.0007 5.4324 3.8823
0.0166 1.3598 6.0642
2.2474 4.0794 0.2300
2.2647 0.0068 2.4119
2.2647 2.7128 2.4119
-0.0108 4.0794 1.6332
2.2747 1.3598 4.6610
```

E in eV/cell: -28.1
Symmetry: No. 11

***

## MgZn6Rh5 (GGA-PBE)

Data for a geometry-optimized MgZn6Rh5 structure.

Structure (POSCAR):
```
MgZn6Rh5
1.0
-2.1420 3.0796 6.4340
2.1420 -3.0796 6.4340
2.1420 3.0796 -6.4340
Mg Zn Rh
1 6 5
Cartesian
0.0000 0.0000 0.0000
2.1420 -1.4743 4.1944
2.1420 1.6699 0.0000
0.0000 1.6053 2.2396
2.1420 1.4743 4.1944
0.0000 1.4097 6.4340
0.0000 4.5540 2.2396
2.1420 0.0000 1.9732
0.0000 0.0000 4.2775
0.0000 3.0796 0.0000
0.0000 0.0000 8.5905
0.0000 3.0796 4.4608
```

E in eV/cell: -51.2
Symmetry: No. 71

***

## Mg2Zn3Rh (GGA-PBE)

Data for a geometry-optimized Mg2Zn3Rh structure.

Structure (POSCAR):
```
Mg2Zn3Rh
1.0
8.7957 0.0000 0.0000
0.0000 5.1321 0.0000
-2.9157 0.0000 4.3008
Mg Zn Rh
4 6 2
Cartesian
0.0077 0.0000 1.6869
1.4744 2.5661 2.6140
4.4056 2.5661 1.6869
5.8722 0.0000 2.6140
0.0000 2.5661 0.0000
2.1989 1.2830 0.0000
2.1989 3.8491 0.0000
4.3978 0.0000 0.0000
6.5968 1.2830 0.0000
6.5968 3.8491 0.0000
-1.4579 2.5661 2.1504
2.9400 0.0000 2.1504
```

E in eV/cell: -33.2
Symmetry: No. 12

***

- Which value of E does entry 3 give?
  -45.8 eV/cell

***

- E of number 6 (Mg2Zn3Rh)?
  -33.2 eV/cell

***

- What is the E in the sixth record?
  -33.2 eV/cell